Here is an optimized crystal structure of Au2CI from the Alexandria database. Energies are from PBE.

Cell lengths 4.8080, 4.8080, 4.8080 Å; angles 60.00, 60.00, 60.00 degrees
Last column: nearest neighbours and their distance in Å.
Positions (direct):
Au 0.2500 0.2500 0.2500  4 I 2.94, 4 C 2.94
Au 0.7500 0.7500 0.7500  4 I 2.94, 4 C 2.94
C 0.0000 0.0000 0.0000  8 Au 2.94
I 0.5000 0.5000 0.5000  8 Au 2.94

Summary:
Size of the total moment = 1.00 μB per formula unit
E above lowest polymorph = 1005 meV per atom
Crystal system = cubic
Uncorrected formation energy = 44.6 kcal/mol of atoms
VASP energy = -9.59 eV for the cell shown
Volume = 79 Å³/f.u.